Below is an optimized crystal structure of RbTlPbBr6, with properties calculated at the GGA-PBE level.

a = 7.6683 Å, b = 7.6683 Å, c = 7.4306 Å
α = 90.00°, β = 90.00°, γ = 120.00°
With the nearest neighbours (Å) after each atom.
Fractional coordinates of all 9 atoms:
Rb: 0.0000 0.0000 0.0000  6 Br 3.52
Tl: 0.6667 0.3333 0.5000  6 Br 2.81
Pb: 0.3333 0.6667 0.5000  6 Br 3.06
Br: 0.3841 0.0245 0.7229  1 Tl 2.81, 1 Pb 3.06
Br: 0.3841 0.3596 0.2771  1 Tl 2.81, 1 Pb 3.06
Br: 0.6404 0.0245 0.2771  1 Tl 2.81, 1 Pb 3.06
Br: 0.6404 0.6159 0.7229  1 Tl 2.81, 1 Pb 3.06
Br: 0.9755 0.3596 0.7229  1 Tl 2.81, 1 Pb 3.06
Br: 0.9755 0.6159 0.2771  1 Tl 2.81, 1 Pb 3.06

Properties
Total magnetic moment   0.000 μB/f.u.
E_tot   -2.811 eV per atom